1.
# TmTlPtRh | Alexandria | PBE | optimized geometry
data_TmTlPtRh
_cell_length_a 6.7288
_cell_length_b 6.7288
_cell_length_c 6.7288
_cell_angle_alpha 90.00
_cell_angle_beta 90.00
_cell_angle_gamma 90.00
_symmetry_space_group_name_H-M 'F -4 3 m'
_symmetry_Int_Tables_number 216
_symmetry_space_group_name_Hall 'F -4 2 3'
loop_
_atom_site_label
_atom_site_type_symbol
_atom_site_fract_x
_atom_site_fract_y
_atom_site_fract_z
Tm1 Tm 0.0000 0.0000 0.0000
Tl1 Tl 0.0000 0.0000 0.5000
Pt1 Pt 0.2500 0.2500 0.7500
Rh1 Rh 0.2500 0.2500 0.2500
# energy of formation from the pure elements: -60 kJ per mole of atoms


2.
# HoNb2Co9 | Alexandria | PBE | optimized geometry
data_HoNb2Co9
_cell_length_a 4.8138
_cell_length_b 4.8138
_cell_length_c 23.4341
_cell_angle_alpha 90.00
_cell_angle_beta 90.00
_cell_angle_gamma 120.00
_symmetry_space_group_name_H-M 'R -3 m'
_symmetry_Int_Tables_number 166
_symmetry_space_group_name_Hall '-R 3 2"'
loop_
_atom_site_label
_atom_site_type_symbol
_atom_site_fract_x
_atom_site_fract_y
_atom_site_fract_z
Ho1 Ho 0.0000 0.0000 0.0000
Nb1 Nb 0.0000 0.0000 0.1403
Co1 Co 0.0000 0.0000 0.3355
Co2 Co 0.0000 0.0000 0.5000
Co3 Co 0.0066 0.5033 0.9141
# energy of formation from the pure elements: -14 kJ per mole of atoms


3.
# BaCoTe2 | Alexandria | PBE | optimized geometry
data_BaCoTe2
_cell_length_a 7.5547
_cell_length_b 7.6697
_cell_length_c 4.1598
_cell_angle_alpha 90.00
_cell_angle_beta 90.00
_cell_angle_gamma 90.00
_symmetry_space_group_name_H-M 'C m m m'
_symmetry_Int_Tables_number 65
_symmetry_space_group_name_Hall '-C 2 2'
loop_
_atom_site_label
_atom_site_type_symbol
_atom_site_fract_x
_atom_site_fract_y
_atom_site_fract_z
Ba1 Ba 0.0000 0.0000 0.0000
Co1 Co 0.0000 0.5000 0.0000
Te1 Te 0.2500 0.2500 0.5000
# formation energy (no corrections): -0.468 eV/f.u.


4.
# TmV5 | Alexandria | PBE | optimized geometry
data_TmV5
_cell_length_a 4.5692
_cell_length_b 13.2747
_cell_length_c 3.1299
_cell_angle_alpha 90.00
_cell_angle_beta 90.00
_cell_angle_gamma 90.00
_symmetry_space_group_name_H-M 'C m m m'
_symmetry_Int_Tables_number 65
_symmetry_space_group_name_Hall '-C 2 2'
loop_
_atom_site_label
_atom_site_type_symbol
_atom_site_fract_x
_atom_site_fract_y
_atom_site_fract_z
Tm1 Tm 0.0000 0.0000 0.0000
V1 V 0.0000 0.1907 0.5000
V2 V 0.0000 0.3302 0.0000
V3 V 0.0000 0.5000 0.5000
# energy of formation from the pure elements: 29 kJ per mole of atoms